Entry 1:
Density functional theory data (GGA-PBE) for crystalline LaRhI2 at its relaxed geometry.

```
LaRhI2
1.0
-4.2317 -1.0652 3.1815
-2.4494 -2.5188 -4.1013
0.4274 -9.4445 1.9896
La I Rh
2 4 2
Cartesian
0.0000 0.0000 0.0000
-3.5724 -6.1509 2.3557
-2.6280 -3.2874 1.8107
-5.4004 -10.0908 0.8969
-2.3100 -8.5561 0.9379
-2.1691 -4.1229 -1.5057
-3.3406 -1.7920 -0.4599
-2.6813 -6.8777 -1.2858
```

Summary:
As for the uncorrected energy: -33.87 eV for the cell shown. Its space-group type is I-42d, No. 122. The energy above the most stable polymorph in this dataset comes out at 14 meV per atom. As for the volume: 32.35 Å³/atom.

***

Entry 2:
Density functional theory data (GGA-PBE) for crystalline La7RhI12 at its relaxed geometry.

```
La7RhI12
1.0
9.7207 -0.1936 -2.9482
-3.9227 8.8961 -2.9482
-0.1290 -0.1936 10.1571
I La Rh
12 7 1
Cartesian
3.8612 8.0460 -1.7890
1.8078 0.4630 6.0497
7.6736 2.5039 4.2064
-2.0045 6.0050 0.0544
5.7336 5.1410 1.0307
3.9738 1.2376 2.1113
3.7490 4.3650 5.2209
1.9200 4.1439 -0.9602
1.6952 7.2713 2.1494
-0.0673 6.6623 6.2013
-0.0646 3.3680 3.2300
5.7363 1.8467 -1.9406
0.8864 0.2173 2.7368
4.7827 8.2916 1.5239
2.8345 4.2545 2.1304
2.5897 0.9017 -0.8963
3.0793 7.6073 5.1570
6.5759 5.7717 4.1703
-0.9069 2.7372 0.0904
0.0000 0.0000 0.0000
```

Summary:
As for the uncorrected energy: -87.62 eV for the cell shown. Its space-group type is R-3, No. 148. As for the volume: 42.97 Å³/atom.

***

Entry 3:
Density functional theory data (GGA-PBE) for crystalline La6Rh3I2 at its relaxed geometry.

```
La6Rh3I2
1.0
-6.0121 1.2170 -3.9723
-2.4922 -5.1676 -4.5334
-6.6479 -2.6836 4.7444
La I Rh
6 2 3
Cartesian
-6.6157 -3.8278 2.1000
-8.5365 -2.8064 -5.8612
-9.7919 -1.2976 0.9673
-9.4503 -5.1476 -0.7366
-5.7019 -1.4866 -3.0247
-2.8680 -0.1690 -0.1952
-5.9873 -4.5858 -1.3129
-9.1649 -2.0484 -2.4484
-2.8327 -1.3398 -2.8454
0.0000 0.0000 0.0000
-5.6716 -2.6108 -5.6604
```

Summary:
As for the uncorrected energy: -64.40 eV for the cell shown. Its space-group type is C2/m, No. 12. As for the volume: 34.68 Å³/atom.

***

Entry 4:
Density functional theory data (GGA-PBE) for crystalline La4Rh2I at its relaxed geometry.

```
La4Rh2I
1.0
-3.0692 -0.7018 -2.8342
0.8622 -2.0914 -3.5816
-3.9847 -13.7193 4.5466
La Rh I
4 2 1
Cartesian
-1.3066 -3.1782 -0.9639
-3.4467 -7.6726 -3.8651
-2.7450 -8.8399 1.9959
-4.8851 -13.3343 -0.9053
-2.3804 -5.4400 -2.4068
-3.8113 -11.0725 0.5376
0.0000 0.0000 0.0000
```

Summary:
As for the uncorrected energy: -41.80 eV for the cell shown. Its space-group type is R-3m, No. 166. As for the volume: 32.84 Å³/atom.

***

Entry 5:
Density functional theory data (GGA-PBE) for crystalline La3RhI2 at its relaxed geometry.

```
La3RhI2
1.0
4.0314 0.0000 -0.7725
-0.4349 6.0451 -2.2694
-0.4620 -0.3084 8.4947
La I Rh
3 2 1
Cartesian
2.1253 3.6869 0.1859
1.0092 2.0499 5.2669
0.0000 0.0000 0.0000
2.5049 0.9937 2.1668
0.6296 4.7431 3.2859
-0.2174 3.0225 -1.1347
```

Summary:
As for the uncorrected energy: -31.24 eV for the cell shown. Its space-group type is Immm, No. 71. As for the volume: 33.66 Å³/atom.

***

Entry 6:
Density functional theory data (GGA-PBE) for crystalline LaRh2I at its relaxed geometry.

```
LaRh2I
1.0
-0.6293 0.4635 4.8562
-4.0734 2.1217 1.7606
-3.3861 -2.7175 2.3116
Rh I La
2 1 1
Cartesian
-6.0666 -0.0992 6.6963
-2.0222 -0.0331 2.2321
0.0000 0.0000 0.0000
-4.0444 -0.0661 4.4642
```

Summary:
As for the uncorrected energy: -21.85 eV for the cell shown. Its space-group type is Fm-3m, No. 225. The energy above the most stable polymorph in this dataset comes out at 0 meV per atom. As for the volume: 21.04 Å³/atom.

***

Entry 7:
Density functional theory data (GGA-PBE) for crystalline LaRh3I at its relaxed geometry.

```
LaRh3I
1.0
-0.4504 4.7090 1.6501
-4.9644 -0.5895 0.3271
0.5016 -1.6057 4.7191
Rh La I
3 1 1
Cartesian
-2.4822 -0.2948 0.1636
0.2508 -0.8028 2.3596
-0.2252 2.3545 0.8250
0.0000 0.0000 0.0000
-2.4566 1.2569 3.3482
```

Summary:
As for the uncorrected energy: -23.79 eV for the cell shown. Its space-group type is Pm-3m, No. 221. The energy above the most stable polymorph in this dataset comes out at 698 meV per atom. As for the volume: 25.15 Å³/atom.

***

Entry 8:
Density functional theory data (GGA-PBE) for crystalline LaRhI at its relaxed geometry.

```
LaRhI
1.0
4.4139 -0.0182 -0.0306
-2.1892 3.8328 0.0306
-2.1108 -1.3250 11.8802
Rh La I
2 2 2
Cartesian
0.0632 2.5192 5.9769
0.0507 -0.0296 5.9033
2.2525 1.2424 4.0460
-2.1386 1.2473 7.8342
0.0349 2.5357 1.9106
0.0790 -0.0461 9.9697
```

Summary:
As for the uncorrected energy: -34.28 eV for the cell shown. Its space-group type is C2/m, No. 12. As for the volume: 33.39 Å³/atom.

***

Entry 9:
Density functional theory data (GGA-PBE) for crystalline LaRh3I at its relaxed geometry.

```
LaRh3I
1.0
-3.2968 -0.5357 3.5795
3.4035 -2.1059 2.8196
1.2312 4.3871 1.7905
Rh La I
3 1 1
Cartesian
-1.6484 -0.2678 1.7898
0.6156 2.1936 0.8952
1.7018 -1.0529 1.4098
0.6690 0.8728 4.0948
0.0000 0.0000 0.0000
```

Summary:
As for the uncorrected energy: -27.28 eV for the cell shown. Its space-group type is Pm-3m, No. 221. The energy above the most stable polymorph in this dataset comes out at 0 meV per atom. As for the volume: 23.47 Å³/atom.

***

Entry 10:
Density functional theory data (GGA-PBE) for crystalline La3RhI3 at its relaxed geometry.

```
La3RhI3
1.0
-0.4955 1.1757 -4.1078
3.5776 -8.4287 -2.8438
-11.8949 -4.3759 0.1824
La I Rh
6 6 2
Cartesian
-4.1049 -10.0162 -3.4975
1.1445 -7.8371 -3.5070
-6.3972 -5.0962 -1.8129
-9.9572 -3.7918 -3.2622
-4.7079 -1.6127 -3.2717
-2.4155 -6.5327 -4.9563
0.4271 -4.8988 -4.8316
-1.2590 -0.8046 -3.4565
-3.0802 -4.5993 -2.0708
-5.7325 -7.0296 -4.6984
-9.2398 -6.7301 -1.9376
-7.5538 -10.8243 -3.3128
-7.3450 -2.8238 -3.3003
-1.4677 -8.8051 -3.4690
```

Summary:
As for the uncorrected energy: -70.52 eV for the cell shown. Its space-group type is P2_1/m, No. 11. As for the volume: 37.29 Å³/atom.

***

Entry 11:
Density functional theory data (GGA-PBE) for crystalline La8RuRh3I4 at its relaxed geometry.

```
La8RuRh3I4
1.0
8.4448 0.0000 0.0000
0.0000 9.5986 0.7792
-4.2224 -4.2245 5.9840
Ru I La Rh
1 4 8 3
Cartesian
0.0000 4.7993 0.3896
4.2224 0.0000 0.0000
-2.1112 -2.1122 2.9920
0.0000 0.0000 0.0000
2.1112 -2.1122 2.9920
6.3678 2.8438 0.4811
2.1454 2.5303 6.2821
4.2224 0.6988 3.5214
0.0000 4.6753 3.2417
2.0769 2.8438 0.4811
-2.1455 2.5303 6.2821
0.0000 0.7320 3.4984
4.2224 4.6421 3.2647
2.1112 2.6870 3.3816
4.2224 4.7993 0.3896
-2.1112 2.6870 3.3816
```

Summary:
As for the uncorrected energy: -92.87 eV for the cell shown. Its space-group type is C2/m, No. 12. As for the volume: 32.05 Å³/atom.

***

Entry 12:
Density functional theory data (GGA-PBE) for crystalline La6Ru2RhI3 at its relaxed geometry.

```
La6Ru2RhI3
1.0
7.3130 -0.0010 0.0000
-3.6556 6.3338 0.0000
-1.2197 -2.1119 8.2650
I Rh La Ru
3 1 6 2
Cartesian
1.2189 2.1105 4.1325
-2.4349 4.2207 4.1325
4.8727 0.0003 4.1325
0.0000 0.0000 0.0000
3.6773 2.0729 6.7344
2.4169 4.1848 1.5296
-0.0423 4.2211 6.7344
-1.2396 2.1480 1.5307
2.4800 -0.0002 1.5307
0.0208 0.0361 6.7355
3.6558 2.1112 0.0000
0.0016 4.2216 0.0000
```

Summary:
As for the uncorrected energy: -70.67 eV for the cell shown. Its space-group type is C2/m, No. 12. As for the volume: 31.90 Å³/atom.